P.
# Nb2SeCl (meta-GGA SCAN, PBEsol geometry)
data_Nb2SeCl
_space_group_name_H-M_alt 'F m -3 m'
_space_group_IT_number 225
_space_group_name_Hall '-F 4 2 3'
_cell_length_a 6.339
_cell_length_b 6.339
_cell_length_c 6.339
_cell_angle_alpha 90.00
_cell_angle_beta 90.00
_cell_angle_gamma 90.00
loop_
_atom_site_label
_atom_site_fract_x
_atom_site_fract_y
_atom_site_fract_z
Nb1 0.250 0.250 0.250
Se1 0.000 0.000 0.000
Cl1 0.000 0.000 0.500
# Crystal system: cubic

=====

Q.
# Nb2SeCl (meta-GGA SCAN, PBEsol geometry)
data_Nb2SeCl
_space_group_name_H-M_alt 'I -4 2 d'
_space_group_IT_number 122
_space_group_name_Hall 'I -4 2bw'
_cell_length_a 6.876
_cell_length_b 6.876
_cell_length_c 6.122
_cell_angle_alpha 90.00
_cell_angle_beta 90.00
_cell_angle_gamma 90.00
loop_
_atom_site_label
_atom_site_fract_x
_atom_site_fract_y
_atom_site_fract_z
Nb1 0.223 0.250 0.125
Se1 0.000 0.000 0.500
Cl1 0.000 0.000 0.000
# Crystal system: tetragonal

=====

Which structure above is the least stable one? Q is the least stable one.